[1]
# LaMgTlNi2

An optimized crystal structure of LaMgTlNi2 (PBE, Alexandria).

Cell and atoms, written as POSCAR:
```
LaMgTlNi2
1.0
4.688 0.000 0.000
0.000 4.688 0.000
0.000 0.000 5.701
La Mg Tl Ni
1 1 1 2
direct
0.000 0.000 0.000
0.000 0.000 0.500
0.500 0.500 0.000
0.000 0.500 0.500
0.500 0.000 0.500
```



[2]
# La2MgTlNi

An optimized crystal structure of La2MgTlNi (PBE, Alexandria).

Cell and atoms, written as POSCAR:
```
La2MgTlNi
1.0
5.417 0.000 0.000
0.000 5.417 0.000
0.000 0.000 5.044
La Mg Tl Ni
2 1 1 1
direct
0.000 0.500 0.000
0.500 0.000 0.000
0.000 0.000 0.500
0.500 0.500 0.500
0.500 0.500 0.000
```

Summary:
offset from the most stable computed form	118	meV per atom



[3]
# LaMg2TlNi

An optimized crystal structure of LaMg2TlNi (PBE, Alexandria).

Cell and atoms, written as POSCAR:
```
LaMg2TlNi
1.0
5.055 0.000 0.000
0.000 5.055 0.000
0.000 0.000 5.079
La Mg Tl Ni
1 2 1 1
direct
0.000 0.000 0.000
0.000 0.500 0.500
0.500 0.000 0.500
0.500 0.500 0.000
0.000 0.000 0.500
```

Summary:
offset from the most stable computed form	0	meV per atom



Number 1: calculated volume 125.30 Å³ per cell, calculated formation energy 0.740 eV per atom, density of states at the Fermi level 1.179 states/eV per atom. Number 2: calculated volume 148.02 Å³ per cell, calculated formation energy -0.151 eV per atom, density of states at the Fermi level 1.270 states/eV per atom. Number 3: calculated volume 129.78 Å³ per cell, calculated formation energy -0.195 eV per atom, density of states at the Fermi level 0.933 states/eV per atom.